No. 1
## SmMgB (PBE)

Data for a relaxed SmMgB crystal.

Unit cell a=3.1296 b=3.1296 c=11.8300 alpha=90.00 beta=90.00 gamma=90.00
Space group I4mm (No. 107)
Asymmetric unit:
Sm1 0.0000 0.0000 0.0000
Mg1 0.0000 0.0000 0.2588
B1 0.0000 0.0000 0.6363

Values from the calculation:
The value obtained for the total energy is -23.94 eV/cell. As for the density: 5.32 g/cm3.

***

No. 2
## Sm3MgB2 (PBE)

Data for a relaxed Sm3MgB2 crystal.

Unit cell a=3.7253 b=3.7253 c=12.3306 alpha=90.00 beta=90.00 gamma=120.00
Space group P-3m1 (No. 164)
Asymmetric unit:
Sm1 0.0000 0.0000 0.0000
Sm2 0.3333 0.6667 0.2632
Mg1 0.0000 0.0000 0.5000
B1 0.3333 0.6667 0.8566

Values from the calculation:
The value obtained for the total energy is -27.87 eV/cell. As for the density: 5.57 g/cm3.

***

No. 3
## SmMgB (PBE)

Data for a relaxed SmMgB crystal.

Unit cell a=6.4569 b=6.4569 c=6.4569 alpha=90.00 beta=90.00 gamma=90.00
Space group F-43m (No. 216)
Asymmetric unit:
Sm1 0.0000 0.0000 0.0000
Mg1 0.2500 0.2500 0.2500
B1 0.2500 0.2500 0.7500

Values from the calculation:
The value obtained for the total energy is -39.94 eV/cell. As for the density: 4.58 g/cm3.

***

No. 4
## MgTaB4 (PBE)

Data for a relaxed MgTaB4 crystal.

Unit cell a=6.0527 b=11.6145 c=3.5143 alpha=90.00 beta=90.00 gamma=90.00
Space group Pbam (No. 55)
Asymmetric unit:
Mg1 0.1226 0.1518 0.0000
Ta1 0.1403 0.4114 0.0000
B1 0.0023 0.6997 0.5000
B2 0.1176 0.5521 0.5000
B3 0.1278 0.9686 0.5000
B4 0.1883 0.8132 0.5000

Values from the calculation:
The value obtained for the total energy is -164.69 eV/cell. As for the density: 6.68 g/cm3.

***

No. 5
## MgTaB4 (PBE)

Data for a relaxed MgTaB4 crystal.

Unit cell a=3.0538 b=5.3155 c=6.7937 alpha=90.00 beta=90.00 gamma=90.00
Space group Immm (No. 71)
Asymmetric unit:
Mg1 0.0000 0.0000 0.0000
Ta1 0.0000 0.0000 0.5000
B1 0.0000 0.3347 0.2507

Values from the calculation:
The value obtained for the total energy is -85.83 eV/cell. As for the density: 7.48 g/cm3.

***

No. 6
## MgTaB4 (PBE)

Data for a relaxed MgTaB4 crystal.

Unit cell a=3.0451 b=3.0451 c=7.0198 alpha=90.00 beta=90.00 gamma=120.00
Space group P6/mmm (No. 191)
Asymmetric unit:
Mg1 0.0000 0.0000 0.0000
Ta1 0.0000 0.0000 0.5000
B1 0.3333 0.6667 0.2562

Values from the calculation:
The value obtained for the total energy is -42.90 eV/cell. As for the density: 7.32 g/cm3.

***

No. 7
## Mg2TaB6 (PBE)

Data for a relaxed Mg2TaB6 crystal.

Unit cell a=9.1799 b=11.2586 c=3.4778 alpha=90.00 beta=90.00 gamma=90.00
Space group Pbam (No. 55)
Asymmetric unit:
Mg1 0.0517 0.1255 0.0000
Mg2 0.1704 0.4112 0.0000
Ta1 0.1475 0.6801 0.0000
B1 0.0197 0.2887 0.5000
B2 0.0541 0.5623 0.5000
B3 0.0918 0.9745 0.5000
B4 0.1293 0.8230 0.5000
B5 0.1989 0.2412 0.5000
B6 0.2371 0.0757 0.5000

Values from the calculation:
The value obtained for the total energy is -226.22 eV/cell. As for the density: 5.44 g/cm3.

***

No. 8
## MgTaB (PBE)

Data for a relaxed MgTaB crystal.

Unit cell a=5.8341 b=5.8341 c=5.8341 alpha=90.00 beta=90.00 gamma=90.00
Space group F-43m (No. 216)
Asymmetric unit:
Mg1 0.0000 0.0000 0.0000
Ta1 0.2500 0.2500 0.7500
B1 0.0000 0.0000 0.5000

Values from the calculation:
The value obtained for the total energy is -64.03 eV/cell. As for the density: 7.23 g/cm3.

***

No. 9
## Mg2TaB (PBE)

Data for a relaxed Mg2TaB crystal.

Unit cell a=6.2378 b=6.2378 c=6.2378 alpha=90.00 beta=90.00 gamma=90.00
Space group F-43m (No. 216)
Asymmetric unit:
Mg1 0.0000 0.0000 0.0000
Mg2 0.2500 0.2500 0.2500
Ta1 0.2500 0.2500 0.7500
B1 0.0000 0.0000 0.5000

Values from the calculation:
The value obtained for the total energy is -72.45 eV/cell. As for the density: 6.58 g/cm3.

***

No. 10
## MgTaB (PBE)

Data for a relaxed MgTaB crystal.

Unit cell a=5.5575 b=5.5575 c=5.5575 alpha=90.00 beta=90.00 gamma=90.00
Space group F-43m (No. 216)
Asymmetric unit:
Mg1 0.0000 0.0000 0.0000
Ta1 0.0000 0.0000 0.5000
B1 0.2500 0.2500 0.2500

Values from the calculation:
The value obtained for the total energy is -76.57 eV/cell. As for the density: 8.36 g/cm3.

***

No. 11
## TbMgB (PBE)

Data for a relaxed TbMgB crystal.

Unit cell a=6.1169 b=6.1169 c=6.1169 alpha=90.00 beta=90.00 gamma=90.00
Space group F-43m (No. 216)
Asymmetric unit:
Tb1 0.0000 0.0000 0.0000
Mg1 0.0000 0.0000 0.5000
B1 0.2500 0.2500 0.7500

Values from the calculation:
The value obtained for the total energy is -51.99 eV/cell. As for the density: 5.63 g/cm3.

***

No. 12
## TbMgB4 (PBE)

Data for a relaxed TbMgB4 crystal.

Unit cell a=3.2007 b=5.4590 c=7.6586 alpha=90.00 beta=90.00 gamma=90.00
Space group Immm (No. 71)
Asymmetric unit:
Tb1 0.0000 0.0000 0.0000
Mg1 0.0000 0.0000 0.5000
B1 0.0000 0.3286 0.2540

Values from the calculation:
The value obtained for the total energy is -69.40 eV/cell. As for the density: 5.62 g/cm3.